<P>
Here is BaHg4Bi2 after structural relaxation from the Alexandria database. Energies are from GGA-PBE.

The structure belongs to space group P-1 (No. 2); the cell edges are 5.399, 5.407 and 9.395 Å and the angles 74.61°, 74.18° and 60.53°. Symmetry generates all atoms from Ba at (0.000, 0.000, 0.000), Hg at (0.137, 0.130, 0.599), Hg at (0.394, 0.390, 0.817) and Bi at (0.248, 0.253, 0.254).

---

<Q>
Here is BaHg4Bi2 after structural relaxation from the Alexandria database. Energies are from GGA-PBE.

The structure belongs to space group I4/mmm (No. 139); the cell edges are 9.110, 9.110 and 6.697 Å and the angles 90.00°, 90.00° and 90.00°. Symmetry generates all atoms from Ba at (0.000, 0.000, 0.000), Hg at (0.000, 0.225, 0.500) and Bi at (0.000, 0.500, 0.250).

---

Which one sits at the top of the stability order? <P> does.

---

<P>
Here is BaInHg2Bi after structural relaxation from the Alexandria database. Energies are from GGA-PBE.

The structure belongs to space group P4/mmm (No. 123); the cell edges are 5.546, 5.546 and 6.137 Å and the angles 90.00°, 90.00° and 90.00°. Symmetry generates all atoms from Ba at (0.000, 0.000, 0.000), In at (0.500, 0.500, 0.500), Hg at (0.000, 0.500, 0.500) and Bi at (0.500, 0.500, 0.000).

---

<Q>
Here is BaInHg2Bi after structural relaxation from the Alexandria database. Energies are from GGA-PBE.

The structure belongs to space group Imm2 (No. 44); the cell edges are 4.976, 5.166 and 12.797 Å and the angles 90.00°, 90.00° and 90.00°. Symmetry generates all atoms from Ba at (0.000, 0.000, 0.000), In at (0.000, 0.500, 0.763), Hg at (0.000, 0.000, 0.390), Hg at (0.000, 0.500, 0.281) and Bi at (0.000, 0.000, 0.623).

---

Which one sits at the top of the stability order? <Q> does.

---

<P>
Here is Ba2HgBiO after structural relaxation from the Alexandria database. Energies are from GGA-PBE.

The structure belongs to space group P4/mmm (No. 123); the cell edges are 5.448, 5.448 and 5.208 Å and the angles 90.00°, 90.00° and 90.00°. Symmetry generates all atoms from Ba at (0.000, 0.500, 0.000), Hg at (0.000, 0.000, 0.500), Bi at (0.500, 0.500, 0.500) and O at (0.000, 0.000, 0.000).

---

<Q>
Here is Ba2HgBiO after structural relaxation from the Alexandria database. Energies are from GGA-PBE.

The structure belongs to space group P2_1/m (No. 11); the cell edges are 9.418, 3.819 and 9.803 Å and the angles 90.00°, 102.57° and 90.00°. Symmetry generates all atoms from Ba at (0.155, 0.250, 0.335), Ba at (0.180, 0.250, 0.978), Hg at (0.479, 0.750, 0.281), Bi at (0.237, 0.750, 0.667) and O at (0.089, 0.750, 0.137).

---

Which one sits at the top of the stability order? <Q> does.

---

<P>
Here is BaHg2BiPd after structural relaxation from the Alexandria database. Energies are from GGA-PBE.

The structure belongs to space group P4/mmm (No. 123); the cell edges are 5.299, 5.299 and 5.595 Å and the angles 90.00°, 90.00° and 90.00°. Symmetry generates all atoms from Ba at (0.000, 0.000, 0.000), Hg at (0.000, 0.500, 0.500), Bi at (0.500, 0.500, 0.000) and Pd at (0.500, 0.500, 0.500).

---

<Q>
Here is BaHg2BiPd after structural relaxation from the Alexandria database. Energies are from GGA-PBE.

The structure belongs to space group Imm2 (No. 44); the cell edges are 5.027, 5.162 and 11.279 Å and the angles 90.00°, 90.00° and 90.00°. Symmetry generates all atoms from Ba at (0.000, 0.000, 0.000), Hg at (0.000, 0.000, 0.589), Hg at (0.000, 0.500, 0.259), Bi at (0.000, 0.500, 0.750) and Pd at (0.000, 0.000, 0.349).

---

Which one sits at the top of the stability order? <Q> does.

---

<P>
Here is BaHgBiSb after structural relaxation from the Alexandria database. Energies are from GGA-PBE.

The structure belongs to space group F-43m (No. 216); the cell edges are 8.098, 8.098 and 8.098 Å and the angles 90.00°, 90.00° and 90.00°. Symmetry generates all atoms from Ba at (0.000, 0.000, 0.000), Hg at (0.250, 0.250, 0.750), Bi at (0.000, 0.000, 0.500) and Sb at (0.250, 0.250, 0.250).

---

<Q>
Here is BaHgBiSb after structural relaxation from the Alexandria database. Energies are from GGA-PBE.

The structure belongs to space group Cm (No. 8); the cell edges are 12.439, 5.014 and 5.110 Å and the angles 90.00°, 114.20° and 90.00°. Symmetry generates all atoms from Ba at (0.000, 0.000, 0.000), Hg at (0.257, 0.000, 0.812), Bi at (0.415, 0.000, 0.439) and Sb at (0.167, 0.500, 0.509).

---

Which one sits at the top of the stability order? <Q> does.

---

<P>
Here is BaSnHgBi after structural relaxation from the Alexandria database. Energies are from GGA-PBE.

The structure belongs to space group F-43m (No. 216); the cell edges are 8.117, 8.117 and 8.117 Å and the angles 90.00°, 90.00° and 90.00°. Symmetry generates all atoms from Ba at (0.000, 0.000, 0.000), Sn at (0.000, 0.000, 0.500), Hg at (0.250, 0.250, 0.250) and Bi at (0.250, 0.250, 0.750).

---

<Q>
Here is BaSnHgBi after structural relaxation from the Alexandria database. Energies are from GGA-PBE.

The structure belongs to space group P3m1 (No. 156); the cell edges are 5.2797, 5.2797 and 6.3295 Å and the angles 90.00°, 90.00° and 120.00°. Symmetry generates all atoms from Ba at (0.0000, 0.0000, 0.0000), Sn at (0.3333, 0.6667, 0.2975), Hg at (0.3333, 0.6667, 0.7524) and Bi at (0.6667, 0.3333, 0.4522).

---

Which one sits at the top of the stability order? <P> does.

---

<P>
Here is BaHoBi2 after structural relaxation from the Alexandria database. Energies are from GGA-PBE.

The structure belongs to space group R-3m (No. 166, hexagonal axes); the cell edges are 4.7527, 4.7527 and 23.5317 Å and the angles 90.00°, 90.00° and 120.00°. Symmetry generates all atoms from Ba at (0.0000, 0.0000, 0.0000), Ho at (0.0000, 0.0000, 0.5000) and Bi at (0.0000, 0.0000, 0.2355).

---

<Q>
Here is BaHoBi2 after structural relaxation from the Alexandria database. Energies are from GGA-PBE.

The structure belongs to space group P4/mmm (No. 123); the cell edges are 3.947, 3.947 and 8.769 Å and the angles 90.00°, 90.00° and 90.00°. Symmetry generates all atoms from Ba at (0.000, 0.000, 0.000), Ho at (0.000, 0.000, 0.500) and Bi at (0.500, 0.500, 0.285).

---

<R>
Here is BaHoBi2 after structural relaxation from the Alexandria database. Energies are from GGA-PBE.

The structure belongs to space group R3m (No. 160, hexagonal axes); the cell edges are 4.5976, 4.5976 and 25.1873 Å and the angles 90.00°, 90.00° and 120.00°. Symmetry generates all atoms from Ba at (0.0000, 0.0000, 0.0000), Ho at (0.0000, 0.0000, 0.1714), Bi at (0.0000, 0.0000, 0.5729) and Bi at (0.0000, 0.0000, 0.7658).

---

Which one sits at the top of the stability order? <P> does.

---

<P>
Here is BaBi3I after structural relaxation from the Alexandria database. Energies are from GGA-PBE.

The structure belongs to space group Pm-3m (No. 221); the cell edges are 6.023, 6.023 and 6.023 Å and the angles 90.00°, 90.00° and 90.00°. Symmetry generates all atoms from Ba at (0.000, 0.000, 0.000), Bi at (0.000, 0.500, 0.500) and I at (0.500, 0.500, 0.500).

---

<Q>
Here is BaBi3I after structural relaxation from the Alexandria database. Energies are from GGA-PBE.

The structure belongs to space group Pm-3m (No. 221); the cell edges are 6.471, 6.471 and 6.471 Å and the angles 90.00°, 90.00° and 90.00°. Symmetry generates all atoms from Ba at (0.000, 0.000, 0.000), Bi at (0.000, 0.000, 0.500) and I at (0.500, 0.500, 0.500).

---

Which one sits at the top of the stability order? <P> does.

---

<P>
Here is Ba3BiI after structural relaxation from the Alexandria database. Energies are from GGA-PBE.

The structure belongs to space group P2_1/c (No. 14); the cell edges are 10.833, 7.222 and 12.491 Å and the angles 90.00°, 107.95° and 90.00°. Symmetry generates all atoms from Ba at (0.043, 0.094, 0.294), Ba at (0.185, 0.646, 0.537), Ba at (0.430, 0.226, 0.853), Bi at (0.337, 0.716, 0.834) and I at (0.161, 0.167, 0.589).

---

<Q>
Here is Ba3BiI after structural relaxation from the Alexandria database. Energies are from GGA-PBE.

The structure belongs to space group Pm-3m (No. 221); the cell edges are 6.797, 6.797 and 6.797 Å and the angles 90.00°, 90.00° and 90.00°. Symmetry generates all atoms from Ba at (0.000, 0.000, 0.500), Bi at (0.000, 0.000, 0.000) and I at (0.500, 0.500, 0.500).

---

Which one sits at the top of the stability order? <P> does.

---

<P>
Here is BaBiI2 after structural relaxation from the Alexandria database. Energies are from GGA-PBE.

The structure belongs to space group I-42d (No. 122); the cell edges are 5.729, 5.729 and 22.225 Å and the angles 90.00°, 90.00° and 90.00°. Symmetry generates all atoms from Ba at (0.000, 0.000, 0.000), Bi at (0.000, 0.000, 0.500) and I at (0.229, 0.250, 0.625).

---

<Q>
Here is BaBiI2 after structural relaxation from the Alexandria database. Energies are from GGA-PBE.

The structure belongs to space group Fm-3m (No. 225); the cell edges are 8.680, 8.680 and 8.680 Å and the angles 90.00°, 90.00° and 90.00°. Symmetry generates all atoms from Ba at (0.000, 0.000, 0.000), Bi at (0.000, 0.000, 0.500) and I at (0.250, 0.250, 0.250).

---

Which one sits at the top of the stability order? <P> does.

---

<P>
Here is BaBiI after structural relaxation from the Alexandria database. Energies are from GGA-PBE.

The structure belongs to space group C2/m (No. 12); the cell edges are 13.373, 4.666 and 10.059 Å and the angles 90.00°, 119.72° and 90.00°. Symmetry generates all atoms from Ba at (0.000, 0.000, 0.000), Ba at (0.000, 0.000, 0.500), Bi at (0.246, 0.000, 0.399) and I at (0.097, 0.500, 0.839).

---

<Q>
Here is BaBiI after structural relaxation from the Alexandria database. Energies are from GGA-PBE.

The structure belongs to space group Cmcm (No. 63); the cell edges are 4.649, 25.529 and 4.668 Å and the angles 90.00°, 90.00° and 90.00°. Symmetry generates all atoms from Ba at (0.000, 0.137, 0.250), Bi at (0.000, 0.250, 0.750) and I at (0.000, 0.417, 0.250).

---

Which one sits at the top of the stability order? <Q> does.

---

<P>
Here is BaBiIN2 after structural relaxation from the Alexandria database. Energies are from GGA-PBE.

The structure belongs to space group P4/mmm (No. 123); the cell edges are 4.717, 4.717 and 6.199 Å and the angles 90.00°, 90.00° and 90.00°. Symmetry generates all atoms from Ba at (0.000, 0.000, 0.000), Bi at (0.500, 0.500, 0.500), I at (0.500, 0.500, 0.000) and N at (0.000, 0.500, 0.500).

---

<Q>
Here is BaBiIN2 after structural relaxation from the Alexandria database. Energies are from GGA-PBE.

The structure belongs to space group P4/mmm (No. 123); the cell edges are 4.837, 4.837 and 6.813 Å and the angles 90.00°, 90.00° and 90.00°. Symmetry generates all atoms from Ba at (0.000, 0.000, 0.000), Bi at (0.500, 0.500, 0.500), I at (0.000, 0.000, 0.500) and N at (0.000, 0.500, 0.000).

---

Which one sits at the top of the stability order? <P> does.